*A*
Entry from Alexandria: a crystal of CrSb2Ru relaxed with PBEsol (SCAN).

Space group: Pmm2 (25)
M_tot: 3.32 μB/f.u.

Lattice parameters (Å, degrees): 3.2371 3.9898 5.5264 90.00 90.00 90.00
Site moments in Bohr magnetons follow the coordinates.
Fractional coordinates of all 4 atoms:
Cr 0.0000 0.0000 0.4570  3.27
Ru 0.5000 0.5000 0.7924  0.06
Sb 0.0000 0.0000 0.9426  -0.05
Sb 0.5000 0.5000 0.3080  -0.10



*B*
Entry from Alexandria: a crystal of CrSb2Ru relaxed with PBEsol (SCAN).

Space group: F-43m (216)
M_tot: 3.99 μB/f.u.

Lattice parameters (Å, degrees): 4.6914 4.6914 4.6914 60.00 60.00 60.00
Site moments in Bohr magnetons follow the coordinates.
Fractional coordinates of all 4 atoms:
Cr 0.5000 0.5000 0.5000  3.45
Ru 0.2500 0.2500 0.2500  0.36
Sb 0.0000 0.0000 0.0000  0.01
Sb 0.7500 0.7500 0.7500  0.01



*C*
Entry from Alexandria: a crystal of CrSb2Ru relaxed with PBEsol (SCAN).

Space group: Fm-3m (225)
M_tot: 0.00 μB/f.u.

Lattice parameters (Å, degrees): 4.5115 4.5115 4.5115 60.00 60.00 60.00
Fractional coordinates of all 4 atoms:
Cr 0.5000 0.5000 0.5000
Ru 0.0000 0.0000 0.0000
Sb 0.7500 0.7500 0.7500
Sb 0.2500 0.2500 0.2500



Quick one: least stable of them? *B*



*A*
Entry from Alexandria: a crystal of ScCr2Ru relaxed with PBEsol (SCAN).

Space group: R-3m (166)
M_tot: 0.00 μB/f.u.

Lattice parameters (Å, degrees): 2.7251 2.7251 8.7673 81.06 81.06 60.00
Fractional coordinates of all 4 atoms:
Cr 0.2558 0.2558 0.2326
Cr 0.7442 0.7442 0.7674
Ru 0.0000 0.0000 0.0000
Sc 0.5000 0.5000 0.5000



*B*
Entry from Alexandria: a crystal of ScCr2Ru relaxed with PBEsol (SCAN).

Space group: P2/m (10)
M_tot: 0.00 μB/f.u.

Lattice parameters (Å, degrees): 2.7051 4.2086 4.8864 90.00 103.04 90.00
Fractional coordinates of all 4 atoms:
Cr 0.7427 0.0000 0.7571
Cr 0.2573 0.0000 0.2429
Ru 0.5000 0.5000 0.0000
Sc 0.0000 0.5000 0.5000



Quick one: least stable of them? *A*



*A*
Entry from Alexandria: a crystal of SrCrRu2 relaxed with PBEsol (SCAN).

Space group: P4mm (99)
M_tot: 0.00 μB/f.u.

Lattice parameters (Å, degrees): 3.1387 3.1387 7.2599 90.00 90.00 90.00
Fractional coordinates of all 4 atoms:
Cr 0.5000 0.5000 0.8483
Ru 0.0000 0.0000 0.9772
Ru 0.5000 0.5000 0.1784
Sr 0.0000 0.0000 0.4961



*B*
Entry from Alexandria: a crystal of SrCrRu2 relaxed with PBEsol (SCAN).

Space group: P4/mmm (123)
M_tot: 0.87 μB/f.u.

Lattice parameters (Å, degrees): 2.9981 2.9981 7.4328 90.00 90.00 90.00
Site moments in Bohr magnetons follow the coordinates.
Fractional coordinates of all 4 atoms:
Cr 0.5000 0.5000 0.5000  1.69
Ru 0.0000 0.0000 0.6802  -0.47
Ru 0.0000 0.0000 0.3198  -0.47
Sr 0.5000 0.5000 0.0000  0.03



Quick one: least stable of them? *A*



*A*
Entry from Alexandria: a crystal of Ta2CrRu relaxed with PBEsol (SCAN).

Space group: Cmmm (65)
M_tot: 0.00 μB/f.u.

Lattice parameters (Å, degrees): 2.7851 2.7851 8.3150 90.00 90.00 111.47
Fractional coordinates of all 4 atoms:
Cr 0.5000 0.5000 0.5000
Ru 0.5000 0.5000 0.0000
Ta 0.0000 0.0000 0.2575
Ta 0.0000 0.0000 0.7425



*B*
Entry from Alexandria: a crystal of Ta2CrRu relaxed with PBEsol (SCAN).

Space group: R3m (160)
M_tot: 0.00 μB/f.u.

Lattice parameters (Å, degrees): 2.8787 2.8787 8.7305 80.51 80.51 60.00
Fractional coordinates of all 4 atoms:
Cr 0.5042 0.5042 0.4874
Ru 0.2430 0.2430 0.2710
Ta 0.9959 0.9959 0.0123
Ta 0.7569 0.7569 0.7293



*C*
Entry from Alexandria: a crystal of Ta2CrRu relaxed with PBEsol (SCAN).

Space group: Fm-3m (225)
M_tot: 0.00 μB/f.u.

Lattice parameters (Å, degrees): 4.3808 4.3808 4.3808 60.00 60.00 60.00
Fractional coordinates of all 4 atoms:
Ru 0.5000 0.5000 0.5000
Ta 0.2500 0.2500 0.2500
Ta 0.7500 0.7500 0.7500
Cr 0.0000 0.0000 0.0000



*D*
Entry from Alexandria: a crystal of Ta2CrRu relaxed with PBEsol (SCAN).

Space group: P4/mmm (123)
M_tot: 0.00 μB/f.u.

Lattice parameters (Å, degrees): 3.0875 3.0875 6.2201 90.00 90.00 90.00
Fractional coordinates of all 4 atoms:
Ru 0.5000 0.5000 0.5000
Ta 0.0000 0.0000 0.7603
Ta 0.0000 0.0000 0.2397
Cr 0.5000 0.5000 0.0000



Quick one: least stable of them? *B*



*A*
Entry from Alexandria: a crystal of TlCrRu2 relaxed with PBEsol (SCAN).

Space group: P4mm (99)
M_tot: 0.00 μB/f.u.

Lattice parameters (Å, degrees): 3.0891 3.0891 6.3200 90.00 90.00 90.00
Fractional coordinates of all 4 atoms:
Cr 0.5000 0.5000 0.8064
Ru 0.0000 0.0000 0.9671
Ru 0.5000 0.5000 0.2216
Tl 0.0000 0.0000 0.5050



*B*
Entry from Alexandria: a crystal of TlCrRu2 relaxed with PBEsol (SCAN).

Space group: I-4m2 (119)
M_tot: 0.92 μB/f.u.

Lattice parameters (Å, degrees): 3.8068 3.8068 4.9104 112.81 112.81 90.00
Site moments in Bohr magnetons follow the coordinates.
Fractional coordinates of all 4 atoms:
Cr 0.2500 0.7500 0.5000  3.06
Ru 0.0000 0.0000 0.0000  -1.15
Ru 0.7500 0.2500 0.5000  -1.08
Tl 0.5000 0.5000 0.0000  -0.03



Quick one: least stable of them? *A*



*A*
Entry from Alexandria: a crystal of CrRuW2 relaxed with PBEsol (SCAN).

Space group: Cmmm (65)
M_tot: 0.01 μB/f.u.

Lattice parameters (Å, degrees): 2.6781 2.6781 8.4278 90.00 90.00 110.65
Fractional coordinates of all 4 atoms:
Cr 0.5000 0.5000 0.5000
Ru 0.5000 0.5000 0.0000
W 0.0000 0.0000 0.2578
W 0.0000 0.0000 0.7422



*B*
Entry from Alexandria: a crystal of CrRuW2 relaxed with PBEsol (SCAN).

Space group: I-4m2 (119)
M_tot: 0.00 μB/f.u.

Lattice parameters (Å, degrees): 3.7683 3.7683 4.8098 113.06 113.06 90.00
Fractional coordinates of all 4 atoms:
Cr 0.5000 0.5000 0.0000
Ru 0.2500 0.7500 0.5000
W 0.0000 0.0000 0.0000
W 0.7500 0.2500 0.5000



Quick one: least stable of them? *B*